[1]
The following is a GGA-PBE calculation of PmCu6Ag2 after structural relaxation, from the Alexandria database.

* V: 305.7 Å³/cell
* total energy: -68.032 eV/cell
* ΔH_f (0 K): 0.11 eV/atom

a b c (Å): 3.8205 6.6035 12.1180
angles (deg): 90.00 90.00 90.00
Space group Immm (No. 71)
One atom of each set of equivalent atoms:
1 Pm 0.0000 0.0000 0.0000 [2 per cell]
2 Cu 0.0000 0.1796 0.5000 [4 per cell]
3 Cu 0.0000 0.3035 0.3137 [8 per cell]
4 Ag 0.0000 0.5000 0.1252 [4 per cell]

=====

[2]
The following is a GGA-PBE calculation of KAlRe after structural relaxation, from the Alexandria database.

* V: 345.1 Å³/cell
* total energy: -39.889 eV/cell
* ΔH_f (0 K): 2.44 eV/atom

a b c (Å): 7.0142 7.0142 7.0142
angles (deg): 90.00 90.00 90.00
Space group F-43m (No. 216)
One atom of each set of equivalent atoms:
1 K 0.0000 0.0000 0.0000 [4 per cell]
2 Al 0.2500 0.2500 0.2500 [4 per cell]
3 Re 0.2500 0.2500 0.7500 [4 per cell]

=====

[3]
The following is a GGA-PBE calculation of TiPbS2 after structural relaxation, from the Alexandria database.

* V: 87.2 Å³/cell
* total energy: -23.842 eV/cell

a b c (Å): 3.4304 3.4304 8.5557
angles (deg): 90.00 90.00 120.00
Space group P3m1 (No. 156)
One atom of each set of equivalent atoms:
1 Ti 0.0000 0.0000 0.0000 [1 per cell]
2 Pb 0.3333 0.6667 0.4983 [1 per cell]
3 S 0.3333 0.6667 0.8314 [1 per cell]
4 S 0.6667 0.3333 0.1690 [1 per cell]

=====

[4]
The following is a GGA-PBE calculation of K2HoRuO6 after structural relaxation, from the Alexandria database.

* V: 189.8 Å³/cell
* total energy: -61.693 eV/cell

a b c (Å): 6.1920 6.1920 5.7165
angles (deg): 90.00 90.00 120.00
Space group P-3m1 (No. 164)
One atom of each set of equivalent atoms:
1 K 0.3333 0.6667 0.3897 [2 per cell]
2 Ho 0.0000 0.0000 0.0000 [1 per cell]
3 Ru 0.0000 0.0000 0.5000 [1 per cell]
4 O 0.1414 0.2829 0.7068 [6 per cell]